Record 1
MnNbCrS2 after structural relaxation. Source: the Alexandria database, functional PBE. Values from VASP.

```
&SYSTEM
  ibrav = 0, nat = 5, ntyp = 4
/
ATOMIC_SPECIES
Nb 92.91 Nb.upf
S 32.06 S.upf
Mn 54.94 Mn.upf
Cr 52.00 Cr.upf
CELL_PARAMETERS angstrom
-1.785 -0.837 4.332
-2.240 -4.122 -1.719
3.862 -2.556 1.098
ATOMIC_POSITIONS angstrom
Nb 0.000 0.000 0.000
S 1.931 -1.278 0.549
S -0.893 -0.418 2.166
Mn -0.082 -3.757 1.855
Cr -1.120 -2.061 -0.860
```

Output
- Calculated density: 3.9 g/cm3
- Space group: P4/mmm, No. 123
- Formation energy (no corrections): 0.615 eV per atom
- D(E_F): 0.695 states/eV per atom


Record 2
Mn2Nb2CrS6 after structural relaxation. Source: the Alexandria database, functional PBE. Values from VASP.

```
&SYSTEM
  ibrav = 0, nat = 11, ntyp = 4
/
ATOMIC_SPECIES
S 32.06 S.upf
Mn 54.94 Mn.upf
Cr 52.00 Cr.upf
Nb 92.91 Nb.upf
CELL_PARAMETERS angstrom
6.004 -0.142 0.487
-3.091 5.149 0.487
-0.570 -0.979 5.879
ATOMIC_POSITIONS angstrom
S 4.529 0.818 4.982
Mn -0.103 3.411 0.487
S 0.746 1.283 1.612
S -1.527 4.341 4.982
S -2.185 3.210 1.871
S 3.870 -0.313 1.871
Cr -0.285 -0.490 2.940
S 1.597 2.745 5.241
Nb -0.075 2.740 3.427
Nb 2.419 1.289 3.427
Mn 3.017 1.596 0.487
```

Output
- Calculated density: 4.8 g/cm3
- Space group: C2/m, No. 12
- Formation energy (no corrections): -0.744 eV per atom
- D(E_F): 0.317 states/eV per atom


Record 3
MnNbCrSe2 after structural relaxation. Source: the Alexandria database, functional PBE. Values from VASP.

```
&SYSTEM
  ibrav = 0, nat = 5, ntyp = 4
/
ATOMIC_SPECIES
Se 78.96 Se.upf
Cr 52.00 Cr.upf
Nb 92.91 Nb.upf
Mn 54.94 Mn.upf
CELL_PARAMETERS angstrom
-4.542 0.015 0.008
-0.005 -3.178 3.270
0.016 3.258 3.166
ATOMIC_POSITIONS angstrom
Se -2.271 0.007 0.004
Cr -2.266 0.047 3.222
Se 0.008 1.629 1.583
Nb -0.002 -1.589 1.635
Mn 0.000 0.000 0.000
```

Output
- Calculated density: 6.3 g/cm3
- Space group: P4/mmm, No. 123
- Formation energy (no corrections): 1.103 eV per atom
- D(E_F): 1.679 states/eV per atom


Record 4
TaMnNbCr after structural relaxation. Source: the Alexandria database, functional PBE. Values from VASP.

```
&SYSTEM
  ibrav = 0, nat = 4, ntyp = 4
/
ATOMIC_SPECIES
Ta 180.95 Ta.upf
Cr 52.00 Cr.upf
Mn 54.94 Mn.upf
Nb 92.91 Nb.upf
CELL_PARAMETERS angstrom
3.081 0.000 0.000
0.000 3.081 0.000
0.000 0.000 6.176
ATOMIC_POSITIONS angstrom
Ta 1.541 1.541 3.757
Cr 0.000 0.000 2.206
Mn 0.000 0.000 5.288
Nb 1.541 1.541 0.656
```

Output
- Calculated density: 10.8 g/cm3
- Space group: P4mm, No. 99
- D(E_F): 0.916 states/eV per atom
- ΔH_f (0 K): -9 kJ per mole of atoms


Record 5
TiMnNbCr after structural relaxation. Source: the Alexandria database, functional PBE. Values from VASP.

```
&SYSTEM
  ibrav = 0, nat = 4, ntyp = 4
/
ATOMIC_SPECIES
Ti 47.87 Ti.upf
Mn 54.94 Mn.upf
Nb 92.91 Nb.upf
Cr 52.00 Cr.upf
CELL_PARAMETERS angstrom
-3.590 2.373 -0.181
-3.704 -1.793 -1.272
-3.163 -0.660 2.848
ATOMIC_POSITIONS angstrom
Ti -2.614 -0.020 0.348
Mn -5.229 -0.040 0.697
Nb -7.843 -0.060 1.045
Cr 0.000 0.000 0.000
```

Output
- Calculated density: 7.3 g/cm3
- Space group: F-43m, No. 216
- D(E_F): 1.319 states/eV per atom
- ΔH_f (0 K): -8 kJ per mole of atoms


Record 6
NdMn2Cr after structural relaxation. Source: the Alexandria database, functional PBE. Values from VASP.

```
&SYSTEM
  ibrav = 0, nat = 4, ntyp = 3
/
ATOMIC_SPECIES
Cr 52.00 Cr.upf
Nd 144.24 Nd.upf
Mn 54.94 Mn.upf
CELL_PARAMETERS angstrom
-3.051 2.075 1.728
-3.824 -0.539 -1.300
-2.937 -3.355 3.646
ATOMIC_POSITIONS angstrom
Cr -4.906 -0.910 2.037
Nd 0.000 0.000 0.000
Mn -7.265 -0.802 2.546
Mn -2.547 -1.017 1.528
```

Output
- Calculated density: 6.7 g/cm3
- Space group: R-3m, No. 166
- D(E_F): 0.950 states/eV per atom
- ΔH_f (0 K): 24 kJ per mole of atoms